# 1
## YTeAs2 (PBE)

Data for crystalline YTeAs2 at its relaxed geometry.

a b c (Å): 5.1957 5.1745 5.1620
angles (deg): 69.91 71.97 110.35
Last column: nearest neighbours and their distance in Å.
Atoms (fractional coordinates):
Y: 0.5000 0.5000 0.0000  4 As 2.96, 2 Te 3.04
Te: 0.0000 0.5000 0.5000  4 As 2.96, 2 Y 3.04
As: 0.5000 0.0000 0.5000  2 Y 2.96, 2 Te 2.96, 2 As 3.04
As: 0.0000 0.0000 0.0000  2 Te 2.96, 2 Y 2.96, 2 As 3.04

Computed properties:
Energy, eV/atom: -5.279
Symmetry: C2/m (12)


# 2
## Nd4HgC (PBE)

Data for crystalline Nd4HgC at its relaxed geometry.

a b c (Å): 3.7778 7.0462 7.0461
angles (deg): 92.38 90.00 90.00
Last column: nearest neighbours and their distance in Å.
Atoms (fractional coordinates):
Nd: 0.5000 0.2475 0.7526  1 C 2.52
Nd: 0.0000 0.8215 0.8215  2 C 2.57
C: 0.5000 0.0000 0.0000  6 Nd 2.52-2.57
Hg: 0.0000 0.5000 0.5000  6 Nd 3.14-3.19
Nd: 0.0000 0.1785 0.1785  2 C 2.57
Nd: 0.5000 0.7525 0.2474  1 C 2.52

Computed properties:
DFT formation energy, eV per atom: -0.06
Energy, eV/atom: -4.829
Symmetry: Cmmm (65)


# 3
## Ce4As3Br (PBE)

Data for crystalline Ce4As3Br at its relaxed geometry.

a b c (Å): 4.2392 7.3293 7.3293
angles (deg): 70.50 90.00 90.00
Last column: nearest neighbours and their distance in Å.
Atoms (fractional coordinates):
Ce: 0.0000 0.7617 0.7384  4 As 2.93-2.99, 2 Br 3.06
Ce: 0.5000 0.2448 0.7447  5 As 2.93-3.00, 1 Br 3.06
As: 0.9999 0.0001 0.0000  6 Ce 2.99-3.00
Ce: 0.0000 0.2386 0.2615  4 As 2.93-2.99, 2 Br 3.06
Br: 0.5000 0.5001 0.9999  6 Ce 3.06
As: 0.9999 0.5001 0.5000  6 Ce 2.99-3.00
Ce: 0.4999 0.7554 0.2553  5 As 2.93-3.00, 1 Br 3.06
As: 0.5000 0.0001 0.4999  6 Ce 2.93

Computed properties:
Energy, eV/atom: -6.318
Symmetry: Cmmm (65)


# 4
## Pm8In2Ru (PBE)

Data for crystalline Pm8In2Ru at its relaxed geometry.

a b c (Å): 5.6539 7.0937 9.2762
angles (deg): 111.27 107.74 90.00
Last column: nearest neighbours and their distance in Å.
Atoms (fractional coordinates):
Pm: 0.1962 0.2275 0.3925  4 In 3.36-3.75, 8 Pm 3.39-3.72
Ru: 0.5000 0.0000 0.0000  4 Pm 2.76-2.77
Pm: 0.9950 0.2373 0.9901  2 Ru 3.31, 2 In 3.40-3.64, 7 Pm 3.43-3.66
In: 0.1843 0.6883 0.3685  11 Pm 3.36-3.75
Pm: 0.3642 0.1052 0.7284  1 Ru 2.77
Pm: 0.8038 0.7725 0.6075  4 In 3.36-3.75, 8 Pm 3.39-3.72
In: 0.8157 0.3117 0.6315  11 Pm 3.36-3.75
Pm: 0.3886 0.6025 0.7771  1 Ru 2.76
Pm: 0.6114 0.3975 0.2229  1 Ru 2.76
Pm: 0.0050 0.7627 0.0099  2 Ru 3.31, 2 In 3.40-3.64, 7 Pm 3.43-3.66
Pm: 0.6358 0.8948 0.2716  1 Ru 2.77

Computed properties:
DFT formation energy, eV per atom: -0.24
Energy, eV/atom: -5.039
Symmetry: C2/m (12)


# 5
## DyCoC (PBE)

Data for crystalline DyCoC at its relaxed geometry.

a b c (Å): 5.6792 5.1281 5.1279
angles (deg): 54.12 56.38 56.38
Last column: nearest neighbours and their distance in Å.
Atoms (fractional coordinates):
Co: 0.2108 0.0436 0.1790  2 C 1.76
C: 0.4608 0.2678 0.9548  2 Co 1.76
Dy: 0.4608 0.2678 0.4548  4 C 2.56, 2 Co 2.84
Dy: 0.9608 0.7678 0.9548  4 C 2.56, 2 Co 2.84
Co: 0.7107 0.4920 0.7306  2 C 1.76
C: 0.9608 0.2678 0.9548  2 Co 1.76

Computed properties:
DFT formation energy, eV per atom: -0.12
Energy, eV/atom: -7.096
Symmetry: Imma (74)


# 6
## Ac2CuSbPd6 (PBE)

Data for crystalline Ac2CuSbPd6 at its relaxed geometry.

a b c (Å): 5.8087 8.6802 8.6805
angles (deg): 39.10 70.45 90.00
Last column: nearest neighbours and their distance in Å.
Atoms (fractional coordinates):
Sb: 0.0000 0.0000 0.0000  6 Pd 2.63
Pd: 0.2550 0.7456 0.0065  1 Cu 2.59, 1 Sb 2.63, 2 Pd 2.81
Ac: 0.2080 0.7916 0.5837  6 Pd 3.08
Cu: 0.5000 0.5000 0.0000  6 Pd 2.59
Pd: 0.7390 0.7455 0.0063  1 Cu 2.59, 1 Sb 2.63, 2 Pd 2.81
Pd: 0.2610 0.2545 0.9937  1 Cu 2.59, 1 Sb 2.63, 2 Pd 2.81
Pd: 0.7450 0.7382 0.5096  1 Cu 2.59, 1 Sb 2.63, 2 Pd 2.81
Ac: 0.7920 0.2084 0.4163  6 Pd 3.08
Pd: 0.2550 0.2618 0.4904  1 Cu 2.59, 1 Sb 2.63, 2 Pd 2.81
Pd: 0.7450 0.2544 0.9935  1 Cu 2.59, 1 Sb 2.63, 2 Pd 2.81

Computed properties:
Energy, eV/atom: -5.299
Symmetry: R-3m (166)


Repeat the fifth record exactly.
## DyCoC (PBE)

Data for crystalline DyCoC at its relaxed geometry.

a b c (Å): 5.6792 5.1281 5.1279
angles (deg): 54.12 56.38 56.38
Last column: nearest neighbours and their distance in Å.
Atoms (fractional coordinates):
Co: 0.2108 0.0436 0.1790  2 C 1.76
C: 0.4608 0.2678 0.9548  2 Co 1.76
Dy: 0.4608 0.2678 0.4548  4 C 2.56, 2 Co 2.84
Dy: 0.9608 0.7678 0.9548  4 C 2.56, 2 Co 2.84
Co: 0.7107 0.4920 0.7306  2 C 1.76
C: 0.9608 0.2678 0.9548  2 Co 1.76

Computed properties:
DFT formation energy, eV per atom: -0.12
Energy, eV/atom: -7.096
Symmetry: Imma (74)


Q: Look up the energy of the third one.
A: -6.318 eV/atom


Q: What is the formula in the fifth record?
A: DyCoC